Compound: KAgHg4
Source: the Alexandria database
Functional: GGA-PBE
Structure: optimized geometry

Properties
total DFT energy (no corrections)	-5.254	eV per cell
energy relative to the elements	-16	meV/atom
distance to the lowest polymorph of the same formula	0.0744	eV/atom

a b c (Å): 6.2051 6.2051 6.2051
angles (deg): 60.00 60.00 60.00
Closest atoms and distances in Å follow each position.
Sites, in units of the cell vectors:
1 Ag 0.0000 0.0000 0.0000  12 Hg 3.64, 4 K 3.80
2 Hg 0.3745 0.3745 0.8764  6 Hg 3.09-3.11
3 Hg 0.3745 0.8764 0.3745  6 Hg 3.09-3.11
4 Hg 0.8764 0.3745 0.3745  6 Hg 3.09-3.11
5 K 0.7500 0.7500 0.7500  12 Hg 3.64, 4 Ag 3.80
6 Hg 0.3745 0.3745 0.3745  6 Hg 3.09-3.11